Compound: ScAlOs2
Source: Alexandria via LeMat-Bulk
Functional: PBE
Structure: optimized geometry

## Properties
Its size of the total moment is 0.00 μB per atom. As for the space group: Cm (8). The density comes out at 12.17 g cm⁻³. The calculation puts the formation energy at -351 meV per atom.

```
ScAlOs2
1.0
-4.802 0.341 -2.339
-3.319 -1.975 -3.705
-2.930 -2.793 1.553
Os Sc Al
2 1 1
direct
0.736 0.736 0.768 Os
0.002 0.002 0.993 Os
0.494 0.494 0.502 Sc
0.267 0.267 0.236 Al
```